# 1
Below is DyEr5Ag6 after structural relaxation, with properties calculated at the PBE level.

Cell lengths 5.131, 7.154, 8.108 Å; angles 90.00, 71.54, 90.01 degrees
Element x y z (fractional)
Ag  0.833  0.749  0.335
Ag  0.500  0.252  0.000
Ag  0.833  0.251  0.335
Ag  0.167  0.251  0.665
Ag  0.167  0.749  0.665
Ag  0.500  0.748  0.000
Dy  0.000  0.000  0.000
Er  0.000  0.500  0.000
Er  0.334  0.500  0.332
Er  0.666  0.500  0.668
Er  0.667  0.000  0.666
Er  0.333  0.000  0.334

Computed properties:
Space group   No. 65

=====

# 2
Below is TaV2Pd5 after structural relaxation, with properties calculated at the PBE level.

Cell lengths 3.834, 5.605, 11.233 Å; angles 90.00, 90.00, 90.00 degrees
Element x y z (fractional)
Ta  0.000  0.000  0.500
Ta  0.000  0.500  0.000
V  0.500  0.748  0.627
V  0.500  0.248  0.873
V  0.500  0.252  0.373
V  0.500  0.752  0.127
Pd  0.000  0.500  0.500
Pd  0.500  0.750  0.876
Pd  0.500  0.250  0.624
Pd  0.500  0.750  0.376
Pd  0.500  0.250  0.124
Pd  0.000  0.498  0.248
Pd  0.000  0.000  0.000
Pd  0.000  0.002  0.748
Pd  0.000  0.502  0.752
Pd  0.000  0.998  0.252

Computed properties:
Space group   No. 55

=====

no.,energy of formation from the pure elements (meV per atom),spin magnetization (μB per formula unit),final energy (eV/atom)
1,-335,0.0,-4.04
2,-215,0.0,-7.22